Record 1
Entry from Alexandria: crystalline CdCu2H at its relaxed geometry (PBE-GGA).

Values from the calculation:
Crystal system: cubic
Energy relative to the lowest polymorph listed for this composition in kcal/mol of atoms: 12.853

abc: 6.0279 6.0279 6.0279
angles: 90.00 90.00 90.00
Space group Fm-3m (No. 225)
Unique sites:
Cd1 0.0000 0.0000 0.0000 (multiplicity 4)
Cu1 0.2500 0.2500 0.2500 (multiplicity 8)
H1 0.0000 0.0000 0.5000 (multiplicity 4)

***

Record 2
Entry from Alexandria: crystalline CdCuH2 at its relaxed geometry (PBE-GGA).

Values from the calculation:
Crystal system: tetragonal
Energy relative to the lowest polymorph listed for this composition in kcal/mol of atoms: 0.000

abc: 4.5855 4.5855 8.7136
angles: 90.00 90.00 90.00
Space group I-42d (No. 122)
Unique sites:
Cd1 0.0000 0.0000 0.0000 (multiplicity 4)
Cu1 0.0000 0.0000 0.5000 (multiplicity 4)
H1 0.1130 0.2500 0.6250 (multiplicity 8)

***

| no. | density of states at the Fermi level (states/eV/f.u.) |
| --- | --- |
| 1 | 1.537 |
| 2 | 1.036 |